# 1
PBE-GGA Pm12Pb5N2, relaxed; formation energy (no corrections) = -9.13 eV per formula unit; SG = C2/m; crystal system = monoclinic
1.0
8.790 -3.840 0.000
8.790 3.840 0.000
-2.689 0.000 9.235
Pm Pb N
12 5 2
Direct
0.001 0.001 0.180 Pm
0.103 0.596 0.424 Pm
0.112 0.594 0.926 Pm
0.404 0.897 0.576 Pm
0.406 0.888 0.074 Pm
0.499 0.499 0.167 Pm
0.501 0.501 0.833 Pm
0.594 0.112 0.926 Pm
0.596 0.103 0.424 Pm
0.888 0.406 0.074 Pm
0.897 0.404 0.576 Pm
0.999 0.999 0.820 Pm
0.187 0.187 0.844 Pb
0.193 0.193 0.347 Pb
0.500 0.500 0.500 Pb
0.807 0.807 0.653 Pb
0.813 0.813 0.156 Pb
0.241 0.759 0.000 N
0.759 0.241 0.000 N



# 2
PBE-GGA PmPbN, relaxed; formation energy (no corrections) = -1.56 eV per formula unit; excess energy over the best structure of this formula in the dataset = 0 meV/atom; SG = P4_2/mmc; crystal system = tetragonal
1.0
8.721 0.000 0.000
0.000 8.721 0.000
0.000 0.000 4.729
Pm Pb N
4 4 4
Direct
0.000 0.205 0.000 Pm
0.000 0.795 0.000 Pm
0.205 0.000 0.500 Pm
0.795 0.000 0.500 Pm
0.313 0.500 0.000 Pb
0.500 0.313 0.500 Pb
0.500 0.687 0.500 Pb
0.687 0.500 0.000 Pb
0.000 0.171 0.500 N
0.000 0.829 0.500 N
0.171 0.000 0.000 N
0.829 0.000 0.000 N



# 3
PBE-GGA Pm3Pb2N, relaxed; formation energy (no corrections) = -4.34 eV per formula unit; SG = C2/c; crystal system = monoclinic
1.0
7.225 -3.352 0.000
7.225 3.352 0.000
-1.404 0.000 6.886
Pm Pb N
6 4 2
Direct
0.091 0.909 0.750 Pm
0.314 0.453 0.393 Pm
0.453 0.314 0.893 Pm
0.547 0.686 0.107 Pm
0.686 0.547 0.607 Pm
0.909 0.091 0.250 Pm
0.105 0.263 0.063 Pb
0.263 0.105 0.563 Pb
0.737 0.895 0.437 Pb
0.895 0.737 0.937 Pb
0.434 0.566 0.750 N
0.566 0.434 0.250 N



# 4
PBE-GGA Pm4Pb2N, relaxed; formation energy (no corrections) = -5.56 eV per formula unit; excess energy over the best structure of this formula in the dataset = 0 meV/atom; SG = I4/mmm; crystal system = tetragonal
1.0
-2.452 2.452 8.278
2.452 -2.452 8.278
2.452 2.452 -8.278
Pm Pb N
4 2 1
Direct
0.000 0.500 0.500 Pm
0.158 0.158 0.000 Pm
0.500 0.000 0.500 Pm
0.842 0.842 0.000 Pm
0.357 0.357 0.000 Pb
0.643 0.643 0.000 Pb
0.000 0.000 0.000 N



# 5
PBE-GGA Pm4Pr2Pb3N2, relaxed; formation energy (no corrections) = -9.43 eV per formula unit; SG = I4/mmm; crystal system = tetragonal
1.0
-2.440 2.440 13.141
2.440 -2.440 13.141
2.440 2.440 -13.141
Pm Pr Pb N
4 2 3 2
Direct
0.083 0.583 0.500 Pm
0.417 0.917 0.500 Pm
0.583 0.083 0.500 Pm
0.917 0.417 0.500 Pm
0.192 0.192 0.000 Pr
0.808 0.808 0.000 Pr
0.323 0.323 0.000 Pb
0.500 0.500 0.000 Pb
0.677 0.677 0.000 Pb
0.102 0.102 0.000 N
0.898 0.898 0.000 N



# 6
PBE-GGA Pm2PrPbN, relaxed; formation energy (no corrections) = -4.44 eV per formula unit; SG = P4/mmm; crystal system = tetragonal
1.0
4.994 0.000 0.000
0.000 4.994 0.000
0.000 0.000 5.086
Pm Pr Pb N
2 1 1 1
Direct
0.000 0.500 0.000 Pm
0.500 0.000 0.000 Pm
0.000 0.000 0.500 Pr
0.500 0.500 0.500 Pb
0.000 0.000 0.000 N



# 7
PBE-GGA Pm2Pr4Pb3N2, relaxed; formation energy (no corrections) = -8.95 eV per formula unit; SG = I4/mmm; crystal system = tetragonal
1.0
-2.468 2.468 13.144
2.468 -2.468 13.144
2.468 2.468 -13.144
Pm Pr Pb N
2 4 3 2
Direct
0.193 0.193 0.000 Pm
0.807 0.807 0.000 Pm
0.085 0.585 0.500 Pr
0.415 0.915 0.500 Pr
0.585 0.085 0.500 Pr
0.915 0.415 0.500 Pr
0.321 0.321 0.000 Pb
0.500 0.500 0.000 Pb
0.679 0.679 0.000 Pb
0.106 0.106 0.000 N
0.894 0.894 0.000 N



# 8
PBE-GGA Pm3PbSN, relaxed; formation energy (no corrections) = -7.44 eV per formula unit; SG = P2_1/m; crystal system = monoclinic
1.0
8.926 0.000 0.000
0.000 4.102 0.000
-2.335 0.000 9.177
Pm Pb S N
6 2 2 2
Direct
0.061 0.250 0.340 Pm
0.338 0.250 0.982 Pm
0.389 0.750 0.653 Pm
0.611 0.250 0.347 Pm
0.662 0.750 0.018 Pm
0.939 0.750 0.660 Pm
0.309 0.750 0.278 Pb
0.691 0.250 0.722 Pb
0.155 0.250 0.644 S
0.845 0.750 0.356 S
0.406 0.750 0.893 N
0.594 0.250 0.107 N